K2MgCuH6: optimized geometry, GGA-PBE.

Output
- E: -2.88 eV/atom
- Magnetization: 0.00 μB/atom

abc: 5.343 5.343 5.827
angles: 62.72 62.72 90.00
Fractional positions:
Mg (0.000, 0.000, 0.000)
H (0.281, 0.719, 0.000)
H (0.281, 0.281, 0.000)
H (0.215, 0.215, 0.571)
H (0.785, 0.785, 0.429)
H (0.719, 0.281, 0.000)
H (0.719, 0.719, 0.000)
K (0.250, 0.750, 0.500)
K (0.750, 0.250, 0.500)
Cu (0.500, 0.500, 0.000)